No. 1
Computed, not measured: GeCF after structural relaxation at the PBE-GGA level of DFT.

Computed properties:
space group	C2/m, No. 12
final energy	-70.2	eV per cell
excess energy over the best structure of this formula in the dataset	0.000	eV per atom
ΔE_f (raw)	-14.162	kcal/mol of atoms

```
GeCF
1.0
-4.358 7.382 -3.464
-1.416 0.526 2.902
4.803 2.313 1.924
Ge F C
4 4 4
Cartesian
2.275 4.299 0.331
-0.834 3.406 0.820
-1.830 5.396 -1.871
-0.137 6.815 0.543
-0.672 8.374 -0.001
-2.365 6.955 -2.414
2.810 2.740 0.875
-0.299 1.847 1.364
0.469 4.128 -0.519
2.162 5.547 1.894
-3.134 4.674 -0.531
-0.024 5.567 -1.020
```

No. 2
Computed, not measured: LiLaTa2 after structural relaxation at the PBE-GGA level of DFT.

Computed properties:
E_form	0.96	eV/atom
space group	Fm-3m, No. 225
final energy	-26.7	eV per cell
excess energy over the best structure of this formula in the dataset	0.620	eV per atom
D(E_F)	2.186	states/eV/atom

```
LiLaTa2
1.0
0.000 3.412 3.412
3.412 0.000 3.412
3.412 3.412 0.000
Ta La Li
2 1 1
Cartesian
1.706 1.706 1.706
5.118 5.118 5.118
3.412 3.412 3.412
0.000 0.000 0.000
```

No. 3
Computed, not measured: TaBeCoS2 after structural relaxation at the PBE-GGA level of DFT.

Computed properties:
space group	P4/mmm, No. 123
final energy	-26.9	eV per cell
D(E_F)	0.840	states/eV/atom
ΔE_f (raw)	18.726	kcal/mol of atoms

```
TaBeCoS2
1.0
-3.948 1.169 -2.284
-2.626 -1.435 3.805
0.242 4.342 1.804
S Co Ta Be
2 1 1 1
Cartesian
-1.974 0.585 -1.142
0.121 2.171 0.902
-1.313 -0.717 1.903
0.000 0.000 0.000
-3.166 2.038 1.663
```

No. 4
Computed, not measured: PtPbO3 after structural relaxation at the PBE-GGA level of DFT.

Computed properties:
space group	Pm-3m, No. 221
final energy	-26.9	eV per cell
D(E_F)	0.697	states/eV/atom
ΔE_f (raw)	-10.614	kcal/mol of atoms

```
PtPbO3
1.0
4.033 0.000 0.000
0.000 4.033 0.000
0.000 0.000 4.033
O Pb Pt
3 1 1
Cartesian
0.000 2.016 0.000
0.000 0.000 2.016
2.016 0.000 0.000
2.016 2.016 2.016
0.000 0.000 0.000
```